A plane-wave DFT calculation with PBE was carried out for crystalline KCuHg2 at its relaxed geometry.

Cell: 4.8675 4.8675 10.2753 Å, 90.00 90.00 90.00°
Space group I-4m2 (No. 119)
Symmetry-distinct sites (fractional):
K 0.0000 0.0000 0.0000 [2 per cell]
Cu 0.0000 0.5000 0.2500 [2 per cell]
Hg 0.0000 0.0000 0.3487 [4 per cell]

Computed properties:
- E_tot: -5.98 eV per formula unit
- Offset from the most stable computed form: 32 meV per atom
- Calculated volume: 243 Å³ per cell
- Energy of formation from the pure elements: -0.05 eV per atom